Computed, not measured: TlPIr2 after structural relaxation at the GGA-PBE level of DFT.

Results
- Energy relative to the lowest polymorph listed for this composition: 11.99 kcal/mol of atoms
- ΔE_f: 0.57 eV per atom

Structure (CIF):
```
data_TlPIr2
_chemical_formula_sum 'Tl2 P2 Ir4'
_space_group_name_H-M_alt 'C m m m'
_space_group_IT_number 65
_space_group_name_Hall '-C 2 2'
_cell_length_a 6.016
_cell_length_b 7.128
_cell_length_c 3.059
_cell_angle_alpha 90.00
_cell_angle_beta 90.00
_cell_angle_gamma 90.00
loop_
_atom_site_label
_atom_site_fract_x
_atom_site_fract_y
_atom_site_fract_z
Tl1 0.000 0.000 0.000
P1 0.000 0.500 0.000
Ir1 0.250 0.250 0.500
```

=====

Computed, not measured: Cs2MgVS4 after structural relaxation at the GGA-PBE level of DFT.

Results
- ΔE_f (raw): -1.1839 eV per atom

Structure (CIF):
```
data_Cs2MgVS4
_chemical_formula_sum 'Cs16 Mg8 V8 S32'
_space_group_name_H-M_alt 'F d d d'
_space_group_IT_number 70
_cell_length_a 5.946
_cell_length_b 14.222
_cell_length_c 25.268
_cell_angle_alpha 90.00
_cell_angle_beta 90.00
_cell_angle_gamma 90.00
loop_
_space_group_symop_operation_xyz
'x,y,z'
'-x,-y,-z'
'-x+1/4,-y+1/4,z'
'x+1/4,y+1/4,-z'
'x,-y+1/4,-z+1/4'
'-x,y+1/4,z+1/4'
'-x+1/4,y,-z+1/4'
'x+1/4,-y,z+1/4'
'x,y+1/2,z+1/2'
'-x,-y+1/2,-z+1/2'
'-x+1/4,-y+3/4,z+1/2'
'x+1/4,y+3/4,-z+1/2'
'x,-y+3/4,-z+3/4'
'-x,y+3/4,z+3/4'
'-x+1/4,y+1/2,-z+3/4'
'x+1/4,-y+1/2,z+3/4'
'x+1/2,y,z+1/2'
'-x+1/2,-y,-z+1/2'
'-x+3/4,-y+1/4,z+1/2'
'x+3/4,y+1/4,-z+1/2'
'x+1/2,-y+1/4,-z+3/4'
'-x+1/2,y+1/4,z+3/4'
'-x+3/4,y,-z+3/4'
'x+3/4,-y,z+3/4'
'x+1/2,y+1/2,z'
'-x+1/2,-y+1/2,-z'
'-x+3/4,-y+3/4,z'
'x+3/4,y+3/4,-z'
'x+1/2,-y+3/4,-z+1/4'
'-x+1/2,y+3/4,z+1/4'
'-x+3/4,y+1/2,-z+1/4'
'x+3/4,-y+1/2,z+1/4'
loop_
_atom_site_label
_atom_site_fract_x
_atom_site_fract_y
_atom_site_fract_z
Cs1 0.125 0.125 0.302
Mg1 0.125 0.125 0.125
V1 0.125 0.125 0.625
S1 0.098 0.284 0.826
```

=====

Computed, not measured: Na4SrTl4 after structural relaxation at the GGA-PBE level of DFT.

Results
- ΔE_f: -0.05 eV per atom

Structure (CIF):
```
data_Na4SrTl4
_chemical_formula_sum 'Na8 Sr2 Tl8'
_space_group_name_H-M_alt 'P 42/n m c'
_space_group_IT_number 137
_cell_length_a 7.140
_cell_length_b 7.140
_cell_length_c 11.213
_cell_angle_alpha 90.00
_cell_angle_beta 90.00
_cell_angle_gamma 90.00
loop_
_space_group_symop_operation_xyz
'x,y,z'
'-x,-y,-z'
'-y+1/2,x,z+1/2'
'y+1/2,-x,-z+1/2'
'-x+1/2,-y+1/2,z'
'x+1/2,y+1/2,-z'
'y,-x+1/2,z+1/2'
'-y,x+1/2,-z+1/2'
'x+1/2,-y,-z'
'-x+1/2,y,z'
'-y,-x,-z+1/2'
'y,x,z+1/2'
'-x,y+1/2,-z'
'x,-y+1/2,z'
'y+1/2,x+1/2,-z+1/2'
'-y+1/2,-x+1/2,z+1/2'
loop_
_atom_site_label
_atom_site_fract_x
_atom_site_fract_y
_atom_site_fract_z
Na1 0.027 0.250 0.177
Sr1 0.250 0.750 0.250
Tl1 0.021 0.250 0.472
```

=====

Computed, not measured: MgMoAu2 after structural relaxation at the GGA-PBE level of DFT.

Results
- ΔE_f: 0.00 eV per atom

Structure (CIF):
```
data_MgMoAu2
_chemical_formula_sum 'Mg1 Mo1 Au2'
_space_group_name_H-M_alt 'P m m 2'
_space_group_IT_number 25
_cell_length_a 2.857
_cell_length_b 4.820
_cell_length_c 5.012
_cell_angle_alpha 90.00
_cell_angle_beta 90.00
_cell_angle_gamma 90.00
loop_
_space_group_symop_operation_xyz
'x,y,z'
'-x,-y,z'
'-x,y,z'
'x,-y,z'
loop_
_atom_site_label
_atom_site_fract_x
_atom_site_fract_y
_atom_site_fract_z
Mg1 0.000 0.000 0.000
Mo1 0.000 0.500 0.605
Au1 0.500 0.000 0.499
Au2 0.500 0.500 0.108
```

=====

Computed, not measured: K3GaSe after structural relaxation at the GGA-PBE level of DFT.

Results
- Energy relative to the lowest polymorph listed for this composition: 0.00 kcal/mol of atoms
- ΔE_f (raw): -0.3268 eV per atom

Structure (CIF):
```
data_K3GaSe
_chemical_formula_sum 'K3 Ga1 Se1'
_space_group_name_H-M_alt 'P m -3 m'
_space_group_IT_number 221
_space_group_name_Hall '-P 4 2 3'
_cell_length_a 6.288
_cell_length_b 6.288
_cell_length_c 6.288
_cell_angle_alpha 90.00
_cell_angle_beta 90.00
_cell_angle_gamma 90.00
loop_
_atom_site_label
_atom_site_fract_x
_atom_site_fract_y
_atom_site_fract_z
K1 0.000 0.000 0.500
Ga1 0.500 0.500 0.500
Se1 0.000 0.000 0.000
```

=====

Computed, not measured: Ga2Sn2Pd5 after structural relaxation at the GGA-PBE level of DFT.

Results
- ΔE_f: -0.44 eV per atom

Structure (CIF):
```
data_Ga2Sn2Pd5
_chemical_formula_sum 'Ga4 Sn4 Pd10'
_space_group_name_H-M_alt 'C 1 2/m 1'
_space_group_IT_number 12
_cell_length_a 11.696
_cell_length_b 4.253
_cell_length_c 6.561
_cell_angle_alpha 90.00
_cell_angle_beta 109.63
_cell_angle_gamma 90.00
loop_
_space_group_symop_operation_xyz
'x,y,z'
'-x,-y,-z'
'-x,y,-z'
'x,-y,z'
'x+1/2,y+1/2,z'
'-x+1/2,-y+1/2,-z'
'-x+1/2,y+1/2,-z'
'x+1/2,-y+1/2,z'
loop_
_atom_site_label
_atom_site_fract_x
_atom_site_fract_y
_atom_site_fract_z
Ga1 0.202 0.000 0.342
Sn1 0.141 0.500 0.960
Pd1 0.000 0.000 0.000
Pd2 0.081 0.500 0.363
Pd3 0.139 0.000 0.688
```

=====

Computed, not measured: KCr2Ir after structural relaxation at the GGA-PBE level of DFT.

Results
- Energy relative to the lowest polymorph listed for this composition: 13.43 kcal/mol of atoms
- ΔE_f: 1.16 eV per atom

Structure (CIF):
```
data_KCr2Ir
_chemical_formula_sum 'K2 Cr4 Ir2'
_space_group_name_H-M_alt 'I -4 m 2'
_space_group_IT_number 119
_space_group_name_Hall 'I -4 -2'
_cell_length_a 4.663
_cell_length_b 4.663
_cell_length_c 6.621
_cell_angle_alpha 90.00
_cell_angle_beta 90.00
_cell_angle_gamma 90.00
loop_
_atom_site_label
_atom_site_fract_x
_atom_site_fract_y
_atom_site_fract_z
K1 0.000 0.000 0.000
Cr1 0.000 0.000 0.500
Cr2 0.000 0.500 0.750
Ir1 0.000 0.500 0.250
```

=====

Computed, not measured: Li2PmH6 after structural relaxation at the GGA-PBE level of DFT.

Results
- Calculated total energy: -0.1027 Ha/atom

Structure (CIF):
```
data_Li2PmH6
_chemical_formula_sum 'Li8 Pm4 H24'
_space_group_name_H-M_alt 'F m -3 m'
_space_group_IT_number 225
_space_group_name_Hall '-F 4 2 3'
_cell_length_a 7.652
_cell_length_b 7.652
_cell_length_c 7.652
_cell_angle_alpha 90.00
_cell_angle_beta 90.00
_cell_angle_gamma 90.00
loop_
_atom_site_label
_atom_site_fract_x
_atom_site_fract_y
_atom_site_fract_z
Li1 0.250 0.250 0.250
Pm1 0.000 0.000 0.000
H1 0.000 0.000 0.286
```

=====

Computed, not measured: Ag2TeS after structural relaxation at the GGA-PBE level of DFT.

Results
- Energy relative to the lowest polymorph listed for this composition: 0.64 kcal/mol of atoms
- ΔE_f (raw): 0.0279 eV per atom

Structure (CIF):
```
data_Ag2TeS
_chemical_formula_sum 'Ag4 Te2 S2'
_space_group_name_H-M_alt 'P 1'
_space_group_IT_number 1
_cell_length_a 5.298
_cell_length_b 6.232
_cell_length_c 6.237
_cell_angle_alpha 80.01
_cell_angle_beta 89.85
_cell_angle_gamma 67.33
loop_
_space_group_symop_operation_xyz
'x,y,z'
loop_
_atom_site_label
_atom_site_fract_x
_atom_site_fract_y
_atom_site_fract_z
Ag1 0.000 0.000 0.000
Ag2 0.113 0.735 0.445
Ag3 0.451 0.109 0.834
Ag4 0.857 0.315 0.374
Te1 0.549 0.873 0.261
Te2 0.762 0.492 0.906
S1 0.160 0.613 0.856
S2 0.386 0.245 0.440
```

=====

Computed, not measured: Zn6CoNi2 after structural relaxation at the GGA-PBE level of DFT.

Results
- ΔE_f: 0.09 eV per atom

Structure (CIF):
```
data_Zn6CoNi2
_chemical_formula_sum 'Zn12 Co2 Ni4'
_space_group_name_H-M_alt 'C 1 2/m 1'
_space_group_IT_number 12
_cell_length_a 12.689
_cell_length_b 5.672
_cell_length_c 4.022
_cell_angle_alpha 90.00
_cell_angle_beta 108.10
_cell_angle_gamma 90.00
loop_
_space_group_symop_operation_xyz
'x,y,z'
'-x,-y,-z'
'-x,y,-z'
'x,-y,z'
'x+1/2,y+1/2,z'
'-x+1/2,-y+1/2,-z'
'-x+1/2,y+1/2,-z'
'x+1/2,-y+1/2,z'
loop_
_atom_site_label
_atom_site_fract_x
_atom_site_fract_y
_atom_site_fract_z
Zn1 0.000 0.246 0.000
Zn2 0.166 0.248 0.666
Co1 0.000 0.000 0.500
Ni1 0.166 0.500 0.166
```

=====

Computed, not measured: Ba2LiI4 after structural relaxation at the GGA-PBE level of DFT.

Results
- ΔE_f (raw): -1.3822 eV per atom

Structure (CIF):
```
data_Ba2LiI4
_chemical_formula_sum 'Ba4 Li2 I8'
_space_group_name_H-M_alt 'I 4/m m m'
_space_group_IT_number 139
_space_group_name_Hall '-I 4 2'
_cell_length_a 5.527
_cell_length_b 5.527
_cell_length_c 18.279
_cell_angle_alpha 90.00
_cell_angle_beta 90.00
_cell_angle_gamma 90.00
loop_
_atom_site_label
_atom_site_fract_x
_atom_site_fract_y
_atom_site_fract_z
Ba1 0.000 0.000 0.134
Li1 0.000 0.000 0.500
I1 0.000 0.000 0.324
I2 0.000 0.500 0.000
```

=====

Computed, not measured: RbLi6 after structural relaxation at the GGA-PBE level of DFT.

Results
- ΔE_f: 0.31 eV per atom

Structure (CIF):
```
data_RbLi6
_chemical_formula_sum 'Rb2 Li12'
_space_group_name_H-M_alt 'I m -3 m'
_space_group_IT_number 229
_space_group_name_Hall '-I 4 2 3'
_cell_length_a 7.845
_cell_length_b 7.845
_cell_length_c 7.845
_cell_angle_alpha 90.00
_cell_angle_beta 90.00
_cell_angle_gamma 90.00
loop_
_atom_site_label
_atom_site_fract_x
_atom_site_fract_y
_atom_site_fract_z
Rb1 0.000 0.000 0.000
Li1 0.000 0.250 0.500
```

=====

Computed, not measured: Dy2Si4NiPt3 after structural relaxation at the GGA-PBE level of DFT.

Results
- ΔE_f (raw): -1.0351 eV per atom

Structure (CIF):
```
data_Dy2Si4NiPt3
_chemical_formula_sum 'Dy2 Si4 Ni1 Pt3'
_space_group_name_H-M_alt 'P -4 m 2'
_space_group_IT_number 115
_cell_length_a 4.134
_cell_length_b 4.134
_cell_length_c 9.897
_cell_angle_alpha 90.00
_cell_angle_beta 90.00
_cell_angle_gamma 90.00
loop_
_space_group_symop_operation_xyz
'x,y,z'
'y,-x,-z'
'-x,-y,z'
'-y,x,-z'
'-x,y,z'
'-y,-x,-z'
'x,-y,z'
'y,x,-z'
loop_
_atom_site_label
_atom_site_fract_x
_atom_site_fract_y
_atom_site_fract_z
Dy1 0.000 0.500 0.245
Si1 0.000 0.000 0.500
Si2 0.000 0.500 0.872
Si3 0.500 0.500 0.500
Ni1 0.500 0.500 0.000
Pt1 0.000 0.000 0.000
Pt2 0.000 0.500 0.629
```

=====

Computed, not measured: TlOs3Cl after structural relaxation at the GGA-PBE level of DFT.

Results
- Energy relative to the lowest polymorph listed for this composition: 29.39 kcal/mol of atoms
- ΔE_f (raw): 3.3030 eV per atom

Structure (CIF):
```
data_TlOs3Cl
_chemical_formula_sum 'Tl1 Os3 Cl1'
_space_group_name_H-M_alt 'P m -3 m'
_space_group_IT_number 221
_space_group_name_Hall '-P 4 2 3'
_cell_length_a 5.109
_cell_length_b 5.109
_cell_length_c 5.109
_cell_angle_alpha 90.00
_cell_angle_beta 90.00
_cell_angle_gamma 90.00
loop_
_atom_site_label
_atom_site_fract_x
_atom_site_fract_y
_atom_site_fract_z
Tl1 0.000 0.000 0.000
Os1 0.000 0.000 0.500
Cl1 0.500 0.500 0.500
```

=====

Computed, not measured: Ti2AlCo after structural relaxation at the GGA-PBE level of DFT.

Results
- ΔE_f: -0.26 eV per atom

Structure (CIF):
```
data_Ti2AlCo
_chemical_formula_sum 'Ti8 Al4 Co4'
_space_group_name_H-M_alt 'F -4 3 m'
_space_group_IT_number 216
_space_group_name_Hall 'F -4 2 3'
_cell_length_a 6.133
_cell_length_b 6.133
_cell_length_c 6.133
_cell_angle_alpha 90.00
_cell_angle_beta 90.00
_cell_angle_gamma 90.00
loop_
_atom_site_label
_atom_site_fract_x
_atom_site_fract_y
_atom_site_fract_z
Ti1 0.000 0.000 0.000
Ti2 0.250 0.250 0.250
Al1 0.000 0.000 0.500
Co1 0.250 0.250 0.750
```

=====

Computed, not measured: GaHgSCl after structural relaxation at the GGA-PBE level of DFT.

Results
- ΔE_f (raw): -0.6402 eV per atom

Structure (CIF):
```
data_GaHgSCl
_chemical_formula_sum 'Ga2 Hg2 S2 Cl2'
_space_group_name_H-M_alt 'C 1 m 1'
_space_group_IT_number 8
_cell_length_a 6.360
_cell_length_b 3.671
_cell_length_c 10.569
_cell_angle_alpha 90.00
_cell_angle_beta 100.77
_cell_angle_gamma 90.00
loop_
_space_group_symop_operation_xyz
'x,y,z'
'x,-y,z'
'x+1/2,y+1/2,z'
'x+1/2,-y+1/2,z'
loop_
_atom_site_label
_atom_site_fract_x
_atom_site_fract_y
_atom_site_fract_z
Ga1 0.000 0.000 0.000
Hg1 0.303 0.500 0.438
S1 0.364 0.000 0.098
Cl1 0.436 0.500 0.795
```

=====

Computed, not measured: NaMn2Os after structural relaxation at the GGA-PBE level of DFT.

Results
- Energy relative to the lowest polymorph listed for this composition: 0.00 kcal/mol of atoms
- ΔE_f: 0.85 eV per atom

Structure (CIF):
```
data_NaMn2Os
_chemical_formula_sum 'Na4 Mn8 Os4'
_space_group_name_H-M_alt 'F m -3 m'
_space_group_IT_number 225
_space_group_name_Hall '-F 4 2 3'
_cell_length_a 5.944
_cell_length_b 5.944
_cell_length_c 5.944
_cell_angle_alpha 90.00
_cell_angle_beta 90.00
_cell_angle_gamma 90.00
loop_
_atom_site_label
_atom_site_fract_x
_atom_site_fract_y
_atom_site_fract_z
Na1 0.000 0.000 0.000
Mn1 0.250 0.250 0.250
Os1 0.000 0.000 0.500
```

=====

Computed, not measured: FePt2Cl after structural relaxation at the GGA-PBE level of DFT.

Results
- Energy relative to the lowest polymorph listed for this composition: 1.96 kcal/mol of atoms
- ΔE_f (raw): 0.1244 eV per atom

Structure (CIF):
```
data_FePt2Cl
_chemical_formula_sum 'Fe3 Pt6 Cl3'
_space_group_name_H-M_alt 'R -3 m'
_space_group_IT_number 166
_space_group_name_Hall '-R 3 2"'
_cell_length_a 2.7970
_cell_length_b 2.7970
_cell_length_c 28.6426
_cell_angle_alpha 90.00
_cell_angle_beta 90.00
_cell_angle_gamma 120.00
loop_
_atom_site_label
_atom_site_fract_x
_atom_site_fract_y
_atom_site_fract_z
Fe1 0.0000 0.0000 0.0000
Pt1 0.0000 0.0000 0.2612
Cl1 0.0000 0.0000 0.5000
```

=====

Computed, not measured: Pm2Dy6Ho3Tm after structural relaxation at the GGA-PBE level of DFT.

Results
- ΔE_f: 0.02 eV per atom

Structure (CIF):
```
data_Pm2Dy6Ho3Tm
_chemical_formula_sum 'Pm4 Dy12 Ho6 Tm2'
_space_group_name_H-M_alt 'C 1 2/m 1'
_space_group_IT_number 12
_cell_length_a 6.149
_cell_length_b 10.640
_cell_length_c 11.769
_cell_angle_alpha 90.00
_cell_angle_beta 99.97
_cell_angle_gamma 90.00
loop_
_space_group_symop_operation_xyz
'x,y,z'
'-x,-y,-z'
'-x,y,-z'
'x,-y,z'
'x+1/2,y+1/2,z'
'-x+1/2,-y+1/2,-z'
'-x+1/2,y+1/2,-z'
'x+1/2,-y+1/2,z'
loop_
_atom_site_label
_atom_site_fract_x
_atom_site_fract_y
_atom_site_fract_z
Pm1 0.000 0.167 0.000
Dy1 0.248 0.500 0.748
Dy2 0.249 0.166 0.748
Ho1 0.000 0.000 0.500
Ho2 0.000 0.334 0.500
Tm1 0.000 0.500 0.000
```

=====

Computed, not measured: TaGa2B after structural relaxation at the GGA-PBE level of DFT.

Results
- ΔE_f: 0.30 eV per atom

Structure (CIF):
```
data_TaGa2B
_chemical_formula_sum 'Ta4 Ga8 B4'
_space_group_name_H-M_alt 'I -4 2 d'
_space_group_IT_number 122
_space_group_name_Hall 'I -4 2bw'
_cell_length_a 6.939
_cell_length_b 6.939
_cell_length_c 4.773
_cell_angle_alpha 90.00
_cell_angle_beta 90.00
_cell_angle_gamma 90.00
loop_
_atom_site_label
_atom_site_fract_x
_atom_site_fract_y
_atom_site_fract_z
Ta1 0.000 0.000 0.000
Ga1 0.175 0.250 0.625
B1 0.000 0.000 0.500
```